[1]
VASP calculation (PBE) on a relaxed structure of CsRb2Ag.

a b c (Å): 6.0558 6.0558 6.6481
angles (deg): 90.00 90.00 90.00
Last column: nearest neighbours and their distance in Å.
Space group P4/mmm (No. 123)
Unique sites:
Cs 0.0000 0.0000 0.0000 [1 per cell]  4 Ag 4.28, 8 Rb 4.50
Rb 0.0000 0.5000 0.5000 [2 per cell]  4 Rb 4.28, 4 Cs 4.50, 4 Ag 4.50
Ag 0.5000 0.5000 0.0000 [1 per cell]  4 Cs 4.28, 8 Rb 4.50

crystal system	tetragonal
total magnetization	0.0	μB per cell
energy relative to the lowest polymorph listed for this composition	79	meV per atom
density of states at the Fermi level	0.263	states/eV per atom

=====

[2]
VASP calculation (PBE) on a relaxed structure of PrNd7Tm3.

a b c (Å): 6.5871 6.7894 8.7945
angles (deg): 99.87 98.97 95.92
Last column: nearest neighbours and their distance in Å.
Space group P-1 (No. 2)
Unique sites:
Pr 0.0000 0.0000 0.0000 [1 per cell]  8 Nd 3.39-3.73
Nd 0.0000 0.5000 0.0000 [1 per cell]  2 Pr 3.39, 2 Tm 3.48, 6 Nd 3.51-3.61
Nd 0.0507 0.2108 0.6406 [2 per cell]  6 Nd 3.38-3.71, 3 Tm 3.59-3.71, 1 Pr 3.73
Nd 0.2204 0.7238 0.7091 [2 per cell]  4 Tm 3.41-3.69, 6 Nd 3.43-3.75, 1 Pr 3.50
Nd 0.4844 0.2396 0.9110 [2 per cell]  5 Nd 3.39-3.75, 2 Tm 3.69-3.72, 1 Pr 3.69
Tm 0.3126 0.4311 0.3385 [2 per cell]  2 Tm 3.39-3.71, 6 Nd 3.41-3.69
Tm 0.5000 0.0000 0.5000 [1 per cell]  8 Nd 3.44-3.72, 2 Tm 3.71

crystal system	triclinic
total magnetization	0.0	μB per cell
energy relative to the lowest polymorph listed for this composition	0	meV per atom
density of states at the Fermi level	1.578	states/eV per atom

=====

[3]
VASP calculation (PBE) on a relaxed structure of Th2GaP.

a b c (Å): 3.8249 3.8249 29.2650
angles (deg): 90.00 90.00 120.00
Last column: nearest neighbours and their distance in Å.
Space group R-3m (No. 166, hexagonal axes)
Unique sites:
Th 0.0000 0.0000 0.1068 [6 per cell]  3 P 2.82, 1 Ga 3.13
Ga 0.0000 0.0000 0.0000 [3 per cell]  2 Th 3.13
P 0.0000 0.0000 0.5000 [3 per cell]  6 Th 2.82

crystal system	trigonal
total magnetization	0.0	μB per cell
energy relative to the lowest polymorph listed for this composition	442	meV per atom
density of states at the Fermi level	0.900	states/eV per atom

=====

[4]
VASP calculation (PBE) on a relaxed structure of CeTm2Ru4.

a b c (Å): 6.5798 6.5798 6.4798
angles (deg): 90.00 90.00 90.00
Last column: nearest neighbours and their distance in Å.
Space group I4/mmm (No. 139)
Unique sites:
Ce 0.0000 0.0000 0.0000 [2 per cell]  8 Ru 2.83
Tm 0.0000 0.5000 0.0000 [4 per cell]  8 Ru 2.83
Ru 0.2500 0.2500 0.2500 [8 per cell]  2 Ce 2.83, 4 Tm 2.83

crystal system	tetragonal
VASP energy	-7.2953	eV per atom
total magnetization	0.0	μB per cell
density of states at the Fermi level	1.211	states/eV per atom

=====

[5]
VASP calculation (PBE) on a relaxed structure of LiNdSm2S4.

a b c (Å): 6.9159 3.9960 6.9160
angles (deg): 90.00 109.42 90.00
Last column: nearest neighbours and their distance in Å.
Space group P2/m (No. 10)
Unique sites:
Li 0.0000 0.0000 0.0000 [1 per cell]  6 S 2.77-2.80
Nd 0.5000 0.5000 0.0000 [1 per cell]  6 S 2.84
Sm 0.0000 0.5000 0.5000 [1 per cell]  6 S 2.80-2.81
Sm 0.5000 0.0000 0.5000 [1 per cell]  6 S 2.85-2.88
S 0.2420 0.0000 0.7514 [2 per cell]  1 Li 2.77, 3 Sm 2.81-2.88, 2 Nd 2.84
S 0.2432 0.5000 0.2464 [2 per cell]  2 Li 2.80, 3 Sm 2.80-2.85, 1 Nd 2.84

crystal system	monoclinic
total magnetization	0.0	μB per cell
formation energy (no corrections)	-44.316	kcal/mol of atoms
density of states at the Fermi level	0.328	states/eV per atom